The following is a DFT calculation (PBE) of an optimized crystal structure of CsSr2YBr8.

Cell lengths 6.989, 7.203, 9.703 Å; angles 89.96, 89.92, 89.58 degrees
Space group P-1 (No. 2)
Unique sites:
Cs1 0.000 0.000 0.000 [1 per cell]
Sr1 0.500 0.500 0.251 [2 per cell]
Y1 0.000 0.000 0.500 [1 per cell]
Br1 0.236 0.840 0.701 [2 per cell]
Br2 0.237 0.841 0.299 [2 per cell]
Br3 0.251 0.321 0.500 [2 per cell]
Br4 0.264 0.400 0.000 [2 per cell]

Values from the calculation:
Raw formation energy = -1950 meV/atom

---

The following is a DFT calculation (PBE) of an optimized crystal structure of LaSmAlCd.

Cell lengths 7.642, 7.642, 7.642 Å; angles 90.00, 90.00, 90.00 degrees
Space group F-43m (No. 216)
Unique sites:
La1 0.000 0.000 0.000 [4 per cell]
Sm1 0.000 0.000 0.500 [4 per cell]
Al1 0.250 0.250 0.250 [4 per cell]
Cd1 0.250 0.250 0.750 [4 per cell]

Values from the calculation:
ΔE_f = -0.330 eV per atom

---

The following is a DFT calculation (PBE) of an optimized crystal structure of BaTmTlCl6.

Cell lengths 7.6214, 7.6214, 12.9464 Å; angles 90.00, 90.00, 120.00 degrees
Space group P-31c (No. 163)
Unique sites:
Ba1 0.3333 0.6667 0.2500 [2 per cell]
Tm1 0.3333 0.6667 0.7500 [2 per cell]
Tl1 0.0000 0.0000 0.0000 [2 per cell]
Cl1 0.0466 0.3877 0.6348 [12 per cell]

Values from the calculation:
Raw formation energy = -2091 meV/atom

---

What did the second record say?
The following is a DFT calculation (PBE) of an optimized crystal structure of LaSmAlCd.

Cell lengths 7.642, 7.642, 7.642 Å; angles 90.00, 90.00, 90.00 degrees
Space group F-43m (No. 216)
Unique sites:
La1 0.000 0.000 0.000 [4 per cell]
Sm1 0.000 0.000 0.500 [4 per cell]
Al1 0.250 0.250 0.250 [4 per cell]
Cd1 0.250 0.250 0.750 [4 per cell]

Values from the calculation:
ΔE_f = -0.330 eV per atom